Record 1
# BaFe2Te

A geometry-optimized BaFe2Te structure (GGA-PBEsol, Alexandria).

Symmetry   No. 123
Spin magnetization   1.28 μB/atom
Calculated volume   20.98 A^3/atom
Formation energy (no corrections)   661 meV/atom

a b c (Å): 4.6422 3.8904 4.6458
angles (deg): 90.00 90.00 90.00
With the nearest neighbours (Å) after each atom.
Fractional coordinates of all 4 atoms:
1 Te 0.5000 0.5000 0.0000  8 Fe 3.03, 4 Ba 3.28
2 Fe 0.0000 0.0000 0.0000  4 Te 3.03, 4 Ba 3.03, 4 Fe 3.28
3 Fe 0.5000 0.0000 0.5000  4 Ba 3.03, 4 Te 3.03, 4 Fe 3.28
4 Ba 0.0000 0.5000 0.5000  8 Fe 3.03, 4 Te 3.28


Record 2
# BaFe2Te

A geometry-optimized BaFe2Te structure (GGA-PBEsol, Alexandria).

Symmetry   No. 166
Spin magnetization   0.88 μB/atom
Calculated volume   23.30 A^3/atom
Formation energy (no corrections)   -5 meV/atom

a b c (Å): 4.3587 4.3587 6.1984
angles (deg): 69.41 69.41 60.00
With the nearest neighbours (Å) after each atom.
Fractional coordinates of all 4 atoms:
1 Fe 0.1786 0.1786 0.4642  3 Te 2.52, 3 Fe 2.55
2 Fe 0.8214 0.8214 0.5358  3 Te 2.52, 3 Fe 2.55
3 Ba 0.0000 0.0000 0.0000  2 Fe 3.03
4 Te 0.5000 0.5000 0.5000  6 Fe 2.52


Record 3
# BaFeTe

A geometry-optimized BaFeTe structure (GGA-PBEsol, Alexandria).

Symmetry   No. 107
Spin magnetization   0.85 μB/atom
Calculated volume   26.49 A^3/atom
E above lowest polymorph   11 meV/atom
Formation energy (no corrections)   -18 meV/atom

a b c (Å): 3.6825 3.6825 6.4118
angles (deg): 106.69 106.69 90.00
With the nearest neighbours (Å) after each atom.
Fractional coordinates of all 3 atoms:
1 Ba 0.0031 0.0031 0.0062  5 Te 3.32-3.64, 5 Fe 3.43-3.56, 4 Ba 3.68
2 Fe 0.7106 0.7106 0.4212  4 Te 2.75
3 Te 0.2863 0.2863 0.5726  4 Fe 2.75


Record 4
# BaFeTe

A geometry-optimized BaFeTe structure (GGA-PBEsol, Alexandria).

Symmetry   No. 216
Spin magnetization   0.68 μB/atom
Calculated volume   26.32 A^3/atom
E above lowest polymorph   0 meV/atom
Formation energy (no corrections)   -29 meV/atom

a b c (Å): 4.8156 4.8156 4.8156
angles (deg): 60.00 60.00 60.00
With the nearest neighbours (Å) after each atom.
Fractional coordinates of all 3 atoms:
1 Ba 0.5000 0.5000 0.5000  4 Fe 2.95
2 Fe 0.7500 0.7500 0.7500  4 Te 2.95, 4 Ba 2.95
3 Te 0.0000 0.0000 0.0000  4 Fe 2.95


Record 5
# BaTiFe2

A geometry-optimized BaTiFe2 structure (GGA-PBEsol, Alexandria).

Symmetry   No. 225
Spin magnetization   0.62 μB/atom
Calculated volume   17.85 A^3/atom
Formation energy   20.61 kcal/mol of atoms

a b c (Å): 4.6563 4.6563 4.6563
angles (deg): 60.00 60.00 60.00
With the nearest neighbours (Å) after each atom.
Fractional coordinates of all 4 atoms:
1 Ba 0.5000 0.5000 0.5000  8 Fe 2.85
2 Fe 0.2500 0.2500 0.2500  4 Ti 2.85, 4 Ba 2.85
3 Fe 0.7500 0.7500 0.7500  4 Ti 2.85, 4 Ba 2.85
4 Ti 0.0000 0.0000 0.0000  8 Fe 2.85


Record 6
# BaTlFe2

A geometry-optimized BaTlFe2 structure (GGA-PBEsol, Alexandria).

Symmetry   No. 99
Spin magnetization   1.21 μB/atom
Calculated volume   21.00 A^3/atom
Formation energy   9.40 kcal/mol of atoms

a b c (Å): 3.2660 3.2660 7.8734
angles (deg): 90.00 90.00 90.00
With the nearest neighbours (Å) after each atom.
Fractional coordinates of all 4 atoms:
1 Fe 0.4999 0.5000 0.1977  4 Fe 2.46
2 Fe 0.9998 0.0000 0.0901  4 Fe 2.46, 1 Tl 2.69
3 Ba 0.5000 0.5000 0.7807  4 Ba 3.27, 5 Fe 3.28-3.36, 4 Tl 3.59
4 Tl 0.0002 0.0000 0.4316  5 Fe 2.69-2.95


Record 7
# BaTlFe2

A geometry-optimized BaTlFe2 structure (GGA-PBEsol, Alexandria).

Symmetry   No. 44
Spin magnetization   1.24 μB/atom
Calculated volume   21.90 A^3/atom
Formation energy   14.29 kcal/mol of atoms

a b c (Å): 3.2377 5.2506 6.0051
angles (deg): 115.92 105.64 90.00
With the nearest neighbours (Å) after each atom.
Fractional coordinates of all 4 atoms:
1 Fe 0.9425 0.9425 0.8851  2 Fe 2.30
2 Fe 0.2840 0.7840 0.5679  2 Fe 2.30
3 Ba 0.7380 0.2380 0.4760  8 Fe 3.12-3.45, 2 Ba 3.24, 4 Tl 3.35-3.47
4 Tl 0.5355 0.5355 0.0711  6 Fe 3.03-3.23, 2 Tl 3.24, 2 Ba 3.35


Record 8
# BaFeW2

A geometry-optimized BaFeW2 structure (GGA-PBEsol, Alexandria).

Symmetry   No. 44
Spin magnetization   0.39 μB/atom
Calculated volume   20.18 A^3/atom
Formation energy   33.39 kcal/mol of atoms
E above lowest polymorph   0 meV/atom

a b c (Å): 2.9814 5.6084 5.7780
angles (deg): 119.03 104.95 90.00
With the nearest neighbours (Å) after each atom.
Fractional coordinates of all 4 atoms:
1 W 0.7080 0.2080 0.4159  2 W 2.54
2 W 0.9953 0.9953 0.9906  2 Fe 2.48, 2 W 2.54
3 Fe 0.2898 0.7898 0.5797  2 W 2.48
4 Ba 0.5069 0.5069 0.0138  2 Ba 2.98, 2 Fe 3.11, 6 W 3.18-3.25


Record 9
# BaFe2W

A geometry-optimized BaFe2W structure (GGA-PBEsol, Alexandria).

Symmetry   No. 44
Spin magnetization   0.73 μB/atom
Calculated volume   18.44 A^3/atom
Formation energy   28.49 kcal/mol of atoms

a b c (Å): 2.9187 5.0690 5.7800
angles (deg): 116.01 104.62 90.00
With the nearest neighbours (Å) after each atom.
Fractional coordinates of all 4 atoms:
1 Fe 0.0413 0.0413 0.0826  4 Fe 2.68-2.92
2 Fe 0.7667 0.2667 0.5334  2 W 2.33
3 W 0.4486 0.4486 0.8972  2 Fe 2.33
4 Ba 0.2434 0.7434 0.4868  2 Ba 2.92, 6 Fe 2.93-3.24, 2 W 3.26


Record 10
# BaFeW2

A geometry-optimized BaFeW2 structure (GGA-PBEsol, Alexandria).

Symmetry   No. 123
Spin magnetization   0.33 μB/atom
Calculated volume   18.91 A^3/atom
Formation energy   38.09 kcal/mol of atoms
E above lowest polymorph   204 meV/atom

a b c (Å): 3.7921 3.7921 5.2608
angles (deg): 90.00 90.00 90.00
With the nearest neighbours (Å) after each atom.
Fractional coordinates of all 4 atoms:
1 W 0.0000 0.5000 0.0000  4 W 2.68
2 W 0.5000 0.0000 0.0000  4 W 2.68
3 Fe 0.0000 0.0000 0.5000  4 Ba 2.68
4 Ba 0.5000 0.5000 0.5000  4 Fe 2.68


Record 11
# BaYFe2

A geometry-optimized BaYFe2 structure (GGA-PBEsol, Alexandria).

Symmetry   No. 216
Spin magnetization   1.18 μB/atom
Calculated volume   20.59 A^3/atom
Formation energy   19.67 kcal/mol of atoms
E above lowest polymorph   388 meV/atom

a b c (Å): 4.8835 4.8835 4.8835
angles (deg): 60.00 60.00 60.00
With the nearest neighbours (Å) after each atom.
Fractional coordinates of all 4 atoms:
1 Y 0.2500 0.2500 0.2500  4 Ba 2.99, 4 Fe 2.99
2 Fe 0.7500 0.7500 0.7500  4 Ba 2.99, 4 Fe 2.99
3 Fe 0.0000 0.0000 0.0000  4 Fe 2.99, 4 Y 2.99
4 Ba 0.5000 0.5000 0.5000  4 Fe 2.99, 4 Y 2.99


Record 12
# Ba2YFe

A geometry-optimized Ba2YFe structure (GGA-PBEsol, Alexandria).

Symmetry   No. 139
Spin magnetization   0.36 μB/atom
Calculated volume   31.26 A^3/atom
Formation energy   17.50 kcal/mol of atoms
E above lowest polymorph   106 meV/atom

a b c (Å): 4.7236 4.7236 6.5240
angles (deg): 111.22 111.22 90.00
With the nearest neighbours (Å) after each atom.
Fractional coordinates of all 4 atoms:
1 Fe 0.5000 0.5000 0.0000  4 Y 3.34, 8 Ba 3.66
2 Y 0.0000 0.0000 0.0000  4 Fe 3.34, 8 Ba 3.66
3 Ba 0.7500 0.2500 0.5000  4 Ba 3.34, 4 Fe 3.66, 4 Y 3.66
4 Ba 0.2500 0.7500 0.5000  4 Ba 3.34, 4 Fe 3.66, 4 Y 3.66